The following is a DFT calculation (PBEsol) of an optimized crystal structure of KY2Os.

Summary:
DFT formation energy = 0.711 eV per atom

Cell lengths 4.9607, 4.9607, 3.8434 Å; angles 90.00, 90.00, 90.00 degrees
Space group P4/mmm (No. 123)
Unique sites:
K 0.0000 0.0000 0.0000 (multiplicity 1)
Y 0.0000 0.5000 0.5000 (multiplicity 2)
Os 0.5000 0.5000 0.0000 (multiplicity 1)

***

The following is a DFT calculation (PBEsol) of an optimized crystal structure of Mg2Co.

Summary:
DFT formation energy = 0.111 eV per atom

Cell lengths 11.6446, 11.6446, 11.6446 Å; angles 90.00, 90.00, 90.00 degrees
Space group Fd-3m (No. 227, origin choice 2)
Unique sites:
Mg 0.0000 0.0000 0.0000 (multiplicity 16)
Mg 0.0717 0.3750 0.8750 (multiplicity 48)
Co 0.0492 0.0492 0.2008 (multiplicity 32)

***

The following is a DFT calculation (PBEsol) of an optimized crystal structure of BeAsSe2F.

Summary:
Final energy = -3.142 eV/atom

Cell lengths 4.8547, 4.8547, 3.9551 Å; angles 90.00, 90.00, 90.00 degrees
Space group P4/mmm (No. 123)
Unique sites:
Be 0.0000 0.0000 0.0000 (multiplicity 1)
As 0.5000 0.5000 0.0000 (multiplicity 1)
Se 0.0000 0.5000 0.5000 (multiplicity 2)
F 0.5000 0.5000 0.5000 (multiplicity 1)

***

Magnetization (computed, μB per formula unit): 0.0; 0.0; 0.0